Version i
KRb2Nb after structural relaxation, computed with PBE.

Unit cell a=6.6820 b=6.6820 c=6.6820 alpha=60.00 beta=60.00 gamma=60.00
Site moments in Bohr magnetons follow the coordinates.
Element x y z (fractional)
Rb  0.2500  0.2500  0.2500  0.05
Rb  0.7500  0.7500  0.7500  0.05
Nb  0.5000  0.5000  0.5000  3.17
K  0.0000  0.0000  0.0000  0.03


Version ii
KRb2Nb after structural relaxation, computed with PBE.

Unit cell a=5.7269 b=5.7269 c=14.3992 alpha=78.53 beta=78.53 gamma=90.00
Site moments in Bohr magnetons follow the coordinates.
Element x y z (fractional)
Nb  0.7500  0.2500  0.5000  3.12
Nb  0.0000  0.0000  0.0000  3.12
Rb  0.3750  0.3565  0.7500  0.03
Rb  0.6435  0.1250  0.2500  0.03
Rb  0.1065  0.6250  0.2500  0.03
Rb  0.8750  0.8935  0.7500  0.03
K  0.2500  0.7500  0.5000  0.03
K  0.5000  0.5000  0.0000  0.03


Which structure is most stable? version i, by 0.120 eV/atom over the runner-up.


Version i
KRbNb2 after structural relaxation, computed with PBE.

Unit cell a=5.5138 b=5.5138 c=5.5138 alpha=60.00 beta=60.00 gamma=60.00
Element x y z (fractional)
Nb  0.7500  0.7500  0.7500
Nb  0.2500  0.2500  0.2500
Rb  0.5000  0.5000  0.5000
K  0.0000  0.0000  0.0000


Version ii
KRbNb2 after structural relaxation, computed with PBE.

Unit cell a=4.4636 b=4.4636 c=13.8599 alpha=80.73 beta=80.73 gamma=90.00
Element x y z (fractional)
K  0.5000  0.5000  0.0000
K  0.2500  0.7500  0.5000
Rb  0.7500  0.2500  0.5000
Rb  0.0000  0.0000  0.0000
Nb  0.8750  0.2424  0.7500
Nb  0.7576  0.6250  0.2500
Nb  0.9924  0.1250  0.2500
Nb  0.3750  0.0076  0.7500


Which structure is most stable? version ii, by 0.849 eV/atom over the runner-up.